No. 1
Material: TiGaBi3
Method: DFT, SCAN
State: PBEsol geometry

Structure (extended XYZ):
```
5
Lattice="-4.723 2.261 1.053 -1.731 -1.347 -4.870 -1.796 -4.648 1.924" Properties=species:S:1:pos:R:3 pbc="T T T"
Bi -0.898 -2.324 0.962
Bi -2.362 1.130 0.527
Bi -0.865 -0.674 -2.435
Ga 0.000 0.000 0.000
Ti -4.125 -1.867 -0.947
```

Summary:
For the formation energy, the calculation gives 782 meV per atom.

No. 2
Material: Pr2BC
Method: DFT, SCAN
State: PBEsol geometry

Structure (extended XYZ):
```
8
Lattice="-2.857 1.540 1.636 -1.126 -3.801 5.651 3.004 4.745 4.816" Properties=species:S:1:pos:R:3 pbc="T T T"
Pr -1.292 1.144 8.781
Pr 1.030 3.776 6.318
Pr -2.008 -1.292 5.785
Pr 0.313 1.341 3.321
B 1.389 0.713 9.830
B -2.368 1.772 2.272
C 1.674 3.318 3.838
C -2.653 -0.833 8.265
```

Summary:
For the formation energy, the calculation gives -372 meV per atom.

No. 3
Material: TmNi2Sn
Method: DFT, SCAN
State: PBEsol geometry

Structure (extended XYZ):
```
4
Lattice="-0.453 -3.896 2.147 3.133 -1.333 2.898 -0.884 -0.048 4.383" Properties=species:S:1:pos:R:3 pbc="T T T"
Tm 0.898 -2.639 4.714
Sn 0.000 0.000 0.000
Ni 0.449 -1.319 2.357
Ni 1.347 -3.958 7.071
```

Summary:
For the formation energy, the calculation gives -518 meV per atom.

No. 4
Material: PrTlSe2
Method: DFT, SCAN
State: PBEsol geometry

Structure (extended XYZ):
```
4
Lattice="4.272 0.000 0.000 2.136 3.700 0.000 2.136 1.233 7.567" Properties=species:S:1:pos:R:3 pbc="T T T"
Pr 0.000 0.000 0.000
Se 2.136 1.233 1.645
Se 6.408 3.700 5.922
Tl 4.272 2.467 3.784
```

Summary:
The total energy is -162.0 eV/cell.

No. 5
Material: GaSnN2
Method: DFT, SCAN
State: PBEsol geometry

Structure (extended XYZ):
```
4
Lattice="3.166 0.000 0.000 1.583 2.742 0.000 1.583 0.914 6.045" Properties=species:S:1:pos:R:3 pbc="T T T"
N 1.583 0.914 4.020
N 4.748 2.742 2.025
Sn 0.000 0.000 0.000
Ga 3.166 1.828 3.022
```

Summary:
As for the distance to the lowest polymorph of the same formula: 0.0 meV per atom.

No. 6
Material: TcH3Pt
Method: DFT, SCAN
State: PBEsol geometry

Structure (extended XYZ):
```
5
Lattice="-0.603 -3.338 0.158 2.421 -0.326 2.358 -2.302 0.531 2.438" Properties=species:S:1:pos:R:3 pbc="T T T"
H 1.211 -0.163 1.179
H -1.151 0.266 1.219
H -0.301 -1.669 0.079
Tc 0.000 0.000 0.000
Pt -0.242 -1.566 2.477
```

Summary:
The total energy is -113.2 eV/cell.

No. 7
Material: CoPBr2
Method: DFT, SCAN
State: PBEsol geometry

Structure (extended XYZ):
```
4
Lattice="-1.349 -0.880 2.998 2.170 -4.393 -0.313 2.757 3.443 2.251" Properties=species:S:1:pos:R:3 pbc="T T T"
Br 0.071 0.055 0.048
Br 1.763 -2.076 2.116
Co 3.667 1.137 1.984
P 1.918 0.301 2.883
```

Summary:
As for the distance to the lowest polymorph of the same formula: 0.0 meV per atom.

No. 8
Material: AgPb
Method: DFT, SCAN
State: PBEsol geometry

Structure (extended XYZ):
```
2
Lattice="-3.066 -2.742 0.112 -1.405 -1.659 -3.493 0.747 -3.957 -0.844" Properties=species:S:1:pos:R:3 pbc="T T T"
Ag 0.000 0.000 0.000
Pb -1.862 -4.179 -2.113
```

Summary:
For the formation energy, the calculation gives 241 meV per atom.

No. 9
Material: ZrZnIn2
Method: DFT, SCAN
State: PBEsol geometry

Structure (extended XYZ):
```
4
Lattice="-1.259 2.154 1.833 1.276 -2.344 3.630 5.100 2.901 0.080" Properties=species:S:1:pos:R:3 pbc="T T T"
In 0.669 1.813 0.935
In 3.172 3.242 0.978
Zr 3.188 0.279 1.855
Zn 0.009 -0.095 2.732
```

Summary:
For the formation energy, the calculation gives -193 meV per atom.

No. 10
Material: NaTaCo3
Method: DFT, SCAN
State: PBEsol geometry

Structure (extended XYZ):
```
5
Lattice="-2.482 -2.343 -2.221 2.065 -3.305 1.179 -2.481 -0.408 3.202" Properties=species:S:1:pos:R:3 pbc="T T T"
Co 1.032 -1.653 0.590
Co -1.241 -0.204 1.601
Co -1.241 -1.171 -1.111
Ta -1.449 -3.028 1.080
Na 0.000 0.000 0.000
```

Summary:
For the formation energy, the calculation gives 1868 meV per atom.

No. 11
Material: NaSrTi2Pb
Method: DFT, SCAN
State: PBEsol geometry

Structure (extended XYZ):
```
5
Lattice="5.089 0.000 0.000 0.000 5.089 0.000 0.000 0.000 5.411" Properties=species:S:1:pos:R:3 pbc="T T T"
Ti 0.000 2.544 0.000
Ti 2.544 0.000 0.000
Pb 2.544 2.544 2.706
Na 0.000 0.000 0.000
Sr 0.000 0.000 2.706
```

Summary:
For the formation energy, the calculation gives 1048 meV per atom.

No. 12
Material: FeNiIr
Method: DFT, SCAN
State: PBEsol geometry

Structure (extended XYZ):
```
3
Lattice="-0.044 2.574 0.402 -3.530 -0.004 -0.360 1.406 -1.876 3.724" Properties=species:S:1:pos:R:3 pbc="T T T"
Ni -0.256 -0.396 2.510
Fe -2.168 0.695 3.762
Ir -1.913 1.090 1.259
```

Summary:
For the formation energy, the calculation gives -54 meV per atom. As for the distance to the lowest polymorph of the same formula: 0.0 meV per atom.

No. 13
Material: LaYBr2
Method: DFT, SCAN
State: PBEsol geometry

Structure (extended XYZ):
```
4
Lattice="3.636 0.000 0.000 0.000 5.128 0.000 0.000 0.000 5.128" Properties=species:S:1:pos:R:3 pbc="T T T"
Y 1.818 0.000 0.000
La 1.818 2.564 2.564
Br 0.000 0.000 2.564
Br 0.000 2.564 0.000
```

Summary:
As for the distance to the lowest polymorph of the same formula: 200.8 meV per atom.

No. 14
Material: Sr2ScCdRe
Method: DFT, SCAN
State: PBEsol geometry

Structure (extended XYZ):
```
5
Lattice="-2.602 3.053 2.079 -4.923 -2.853 -1.972 -0.019 -3.401 4.970" Properties=species:S:1:pos:R:3 pbc="T T T"
Sr -0.010 -1.701 2.485
Sr -2.462 -1.427 -0.986
Re -1.301 1.527 1.040
Cd -3.772 -1.601 2.539
Sc 0.000 0.000 0.000
```

Summary:
For the formation energy, the calculation gives 1049 meV per atom.

No. 15
Material: CaMg2Tl
Method: DFT, SCAN
State: PBEsol geometry

Structure (extended XYZ):
```
4
Lattice="4.544 0.000 0.000 0.000 4.544 0.000 0.000 0.000 4.913" Properties=species:S:1:pos:R:3 pbc="T T T"
Ca 0.000 0.000 2.456
Mg 2.272 0.000 0.000
Mg 0.000 2.272 0.000
Tl 2.272 2.272 2.456
```

Summary:
For the formation energy, the calculation gives -248 meV per atom. As for the distance to the lowest polymorph of the same formula: 38.2 meV per atom.

No. 16
Material: Li2BeBrCl
Method: DFT, SCAN
State: PBEsol geometry

Structure (extended XYZ):
```
5
Lattice="-2.993 2.077 -2.393 -3.097 -1.218 2.815 0.998 5.392 3.431" Properties=species:S:1:pos:R:3 pbc="T T T"
Li -1.496 1.038 -1.197
Li -1.548 -0.609 1.408
Cl 0.000 0.000 0.000
Be -2.546 3.125 1.926
Br 0.499 2.696 1.715
```

Summary:
The total energy is -37.9 eV/cell.

No. 17
Material: CdCo2Ir
Method: DFT, SCAN
State: PBEsol geometry

Structure (extended XYZ):
```
4
Lattice="2.672 0.000 0.000 0.000 3.549 0.000 0.000 0.000 5.646" Properties=species:S:1:pos:R:3 pbc="T T T"
Ir 1.336 1.774 0.000
Cd 1.336 1.774 2.823
Co 0.000 0.000 4.432
Co 0.000 0.000 1.213
```

Summary:
For the formation energy, the calculation gives 193 meV per atom.

No. 18
Material: AlFeOs2
Method: DFT, SCAN
State: PBEsol geometry

Structure (extended XYZ):
```
4
Lattice="2.681 -0.009 0.000 -1.162 2.417 0.000 0.000 0.000 8.379" Properties=species:S:1:pos:R:3 pbc="T T T"
Al 0.760 1.204 4.189
Fe 0.760 1.204 0.000
Os 0.000 0.000 6.285
Os 0.000 0.000 2.094
```

Summary:
For the formation energy, the calculation gives 4 meV per atom.

No. 19
Material: CdSbAs
Method: DFT, SCAN
State: PBEsol geometry

Structure (extended XYZ):
```
3
Lattice="-1.215 1.086 -2.788 -3.821 -1.028 1.265 1.936 4.727 2.868" Properties=species:S:1:pos:R:3 pbc="T T T"
Cd -2.689 1.429 -0.141
As -0.045 0.364 0.161
Sb -0.366 2.992 1.325
```

Summary:
As for the distance to the lowest polymorph of the same formula: 38.8 meV per atom.

No. 20
Material: BaLi2Ir
Method: DFT, SCAN
State: PBEsol geometry

Structure (extended XYZ):
```
4
Lattice="-0.431 3.407 0.351 -3.425 -0.435 0.021 0.144 -0.768 7.636" Properties=species:S:1:pos:R:3 pbc="T T T"
Ir -1.810 0.855 6.456
Ba 0.082 -0.437 4.339
Li 0.138 -0.738 7.333
Li -1.906 1.370 1.334
```

Summary:
For the formation energy, the calculation gives 93 meV per atom. As for the distance to the lowest polymorph of the same formula: 0.0 meV per atom.

No. 21
Material: Sc2As
Method: DFT, SCAN
State: PBEsol geometry

Structure (extended XYZ):
```
6
Lattice="-3.476 0.950 1.153 0.452 -2.461 3.388 4.450 5.033 3.063" Properties=species:S:1:pos:R:3 pbc="T T T"
As 2.261 3.748 3.730
As -0.835 -0.226 3.875
Sc 1.711 0.940 4.382
Sc -0.285 2.581 3.222
Sc 0.515 0.202 1.387
Sc 0.910 3.320 6.218
```

Summary:
For the formation energy, the calculation gives -876 meV per atom.

No. 22
Material: TlRe4Br
Method: DFT, SCAN
State: PBEsol geometry

Structure (extended XYZ):
```
6
Lattice="-5.055 -0.329 -1.552 -2.226 -4.742 -0.788 -3.691 -1.784 3.356" Properties=species:S:1:pos:R:3 pbc="T T T"
Re -4.101 -2.563 0.380
Re -6.652 -2.729 -0.403
Re -5.964 -3.463 2.073
Re -5.225 -4.956 -0.018
Br 0.000 0.000 0.000
Tl -8.228 -5.142 0.762
```

Summary:
The total energy is -367.7 eV/cell.

No. 23
Material: Zr3ScPd
Method: DFT, SCAN
State: PBEsol geometry

Structure (extended XYZ):
```
5
Lattice="4.832 0.000 0.000 0.000 4.832 0.000 0.000 0.000 4.832" Properties=species:S:1:pos:R:3 pbc="T T T"
Zr 0.000 0.000 2.416
Zr 0.000 2.416 0.000
Zr 2.416 0.000 0.000
Pd 2.416 2.416 2.416
Sc 0.000 0.000 0.000
```

Summary:
For the formation energy, the calculation gives 1158 meV per atom.

No. 24
Material: Li2LaCl
Method: DFT, SCAN
State: PBEsol geometry

Structure (extended XYZ):
```
4
Lattice="-2.568 2.257 -0.436 -0.675 -1.746 -5.067 -3.675 -3.832 1.811" Properties=species:S:1:pos:R:3 pbc="T T T"
Li -2.713 -2.828 1.336
Li -0.963 -1.004 0.474
La -3.459 -1.661 -1.846
Cl -1.622 0.255 -2.751
```

Summary:
As for the distance to the lowest polymorph of the same formula: 44.7 meV per atom.

No. 25
Material: CrFe4Mo
Method: DFT, SCAN
State: PBEsol geometry

Structure (extended XYZ):
```
6
Lattice="-1.692 1.268 4.060 -1.723 -3.145 2.845 2.234 -1.075 3.847" Properties=species:S:1:pos:R:3 pbc="T T T"
Fe -0.442 -1.105 4.025
Fe -1.308 -2.685 5.455
Fe -1.292 -0.468 6.065
Fe 0.681 -1.645 5.958
Mo -0.885 -2.213 8.064
Cr 0.000 0.000 0.000
```

Summary:
For the formation energy, the calculation gives 154 meV per atom.

No. 26
Material: Li2LaP
Method: DFT, SCAN
State: PBEsol geometry

Structure (extended XYZ):
```
4
Lattice="4.097 0.000 0.000 0.000 4.099 -0.074 -2.048 -1.923 6.414" Properties=species:S:1:pos:R:3 pbc="T T T"
Li 0.000 0.049 2.412
Li 2.048 2.127 3.928
La 2.048 2.049 -0.037
P 0.000 0.000 0.000
```

Summary:
For the formation energy, the calculation gives -715 meV per atom.

No. 27
Material: Tc2Au
Method: DFT, SCAN
State: PBEsol geometry

Structure (extended XYZ):
```
3
Lattice="-0.556 0.658 -2.604 -0.306 -2.587 0.856 -6.523 1.346 1.731" Properties=species:S:1:pos:R:3 pbc="T T T"
Tc -2.695 -1.030 0.315
Tc -4.690 0.446 -0.331
Au 0.000 0.000 0.000
```

Summary:
For the formation energy, the calculation gives 81 meV per atom. As for the distance to the lowest polymorph of the same formula: 0.0 meV per atom.

No. 28
Material: AlCuBr2
Method: DFT, SCAN
State: PBEsol geometry

Structure (extended XYZ):
```
4
Lattice="-1.468 -3.399 0.447 1.757 -2.986 -1.379 3.802 -2.891 6.064" Properties=species:S:1:pos:R:3 pbc="T T T"
Br 2.874 -6.917 3.515
Br 1.217 -2.359 1.617
Cu 2.045 -4.638 2.566
Al 0.000 0.000 0.000
```

Summary:
The total energy is -62.1 eV/cell.

No. 29
Material: Be2CuHg
Method: DFT, SCAN
State: PBEsol geometry

Structure (extended XYZ):
```
4
Lattice="4.122 0.000 0.000 2.061 3.570 0.000 2.061 1.190 3.366" Properties=species:S:1:pos:R:3 pbc="T T T"
Hg 2.061 1.190 0.841
Be 6.184 3.570 2.524
Be 0.000 0.000 0.000
Cu 4.122 2.380 1.683
```

Summary:
For the formation energy, the calculation gives 245 meV per atom.

No. 30
Material: CsRe2Ag2
Method: DFT, SCAN
State: PBEsol geometry

Structure (extended XYZ):
```
5
Lattice="3.551 0.000 0.000 0.000 3.551 0.000 -1.775 -1.775 9.355" Properties=species:S:1:pos:R:3 pbc="T T T"
Ag 0.000 0.000 6.840
Ag 1.775 1.775 2.514
Re 0.000 1.775 4.677
Re 1.775 0.000 4.677
Cs 0.000 0.000 0.000
```

Summary:
For the formation energy, the calculation gives 1019 meV per atom.